1.
DFT (PBE-GGA) results for an optimized crystal structure of ScIr2Au.

Properties
The value obtained for the formation energy is -1.26 eV per formula unit.

Lattice parameters (Å, degrees): 5.780 7.349 3.077 90.00 90.00 90.00
Sites, in units of the cell vectors:
Sc1 0.000 0.000 0.000
Sc2 0.500 0.500 0.000
Ir1 0.250 0.250 0.500
Ir2 0.250 0.750 0.500
Ir3 0.750 0.250 0.500
Ir4 0.750 0.750 0.500
Au1 0.000 0.500 0.000
Au2 0.500 0.000 0.000

2.
DFT (PBE-GGA) results for an optimized crystal structure of CoSiPt2.

Properties
As for the formation energy without anion corrections: -338 meV/atom.

Lattice parameters (Å, degrees): 3.814 3.814 3.713 90.00 90.00 90.00
Sites, in units of the cell vectors:
Co1 0.000 0.000 0.000
Si1 0.500 0.500 0.000
Pt1 0.000 0.500 0.500
Pt2 0.500 0.000 0.500

no.,total magnetic moment (μB/cell)
1,0.00
2,0.86